1.
Below is a relaxed structure of Zn2SbN, with properties calculated at the PBE level.

Cell lengths 4.5711, 4.5711, 4.5711 Å; angles 60.00, 60.00, 60.00 degrees
Closest atoms and distances in Å follow each position.
Fractional positions:
1 Zn 0.2500 0.2500 0.2500  4 N 2.80, 4 Sb 2.80
2 Zn 0.7500 0.7500 0.7500  4 N 2.80, 4 Sb 2.80
3 Sb 0.0000 0.0000 0.0000  8 Zn 2.80
4 N 0.5000 0.5000 0.5000  8 Zn 2.80

Output
E (eV per cell): -10.46
Volume (Å³ per cell): 68


2.
Below is a relaxed structure of PaTl2Ag2S4, with properties calculated at the PBE level.

Cell lengths 7.8628, 7.8628, 7.7204 Å; angles 110.81, 110.81, 30.47 degrees
Closest atoms and distances in Å follow each position.
Fractional positions:
1 Pa 0.0000 0.0000 0.0000  6 S 2.74-2.76
2 Tl 0.1385 0.1385 0.5712  7 S 3.27-3.58, 3 Ag 3.56-3.62
3 Tl 0.8615 0.8615 0.4288  7 S 3.27-3.58, 3 Ag 3.56-3.62
4 Ag 0.3209 0.3209 0.0212  4 S 2.53-2.75
5 Ag 0.6791 0.6791 0.9788  4 S 2.53-2.75
6 S 0.1920 0.1920 0.1953  3 Ag 2.62-2.75, 1 Pa 2.74
7 S 0.4937 0.4937 0.2321  1 Ag 2.53, 2 Pa 2.76
8 S 0.5063 0.5063 0.7679  1 Ag 2.53, 2 Pa 2.76
9 S 0.8080 0.8080 0.8047  3 Ag 2.62-2.75, 1 Pa 2.74

Output
E (eV per cell): -42.79
Volume (Å³ per cell): 225


3.
Below is a relaxed structure of Li3Zn5Au2, with properties calculated at the PBE level.

Cell lengths 8.7125, 8.7125, 8.7125 Å; angles 106.39, 83.73, 145.79 degrees
Closest atoms and distances in Å follow each position.
Fractional positions:
1 Li 0.2311 0.1080 0.3391  4 Au 2.77-2.96, 4 Zn 2.93-3.00
2 Li 0.2500 0.2500 0.0000  2 Li 2.56, 2 Zn 2.59, 4 Au 2.84
3 Li 0.2689 0.6080 0.8769  4 Au 2.77-2.96, 4 Zn 2.93-3.00
4 Li 0.7311 0.3920 0.1231  4 Au 2.77-2.96, 4 Zn 2.93-3.00
5 Li 0.7500 0.7500 0.0000  2 Li 2.56, 2 Zn 2.59, 4 Au 2.84
6 Li 0.7689 0.8920 0.6609  4 Au 2.77-2.96, 4 Zn 2.93-3.00
7 Zn 0.1495 0.3695 0.5190  1 Au 2.53, 4 Zn 2.65-2.70
8 Zn 0.2500 0.0017 0.7517  5 Zn 2.56-2.65, 1 Li 2.59, 2 Au 2.63
9 Zn 0.2500 0.4983 0.2483  5 Zn 2.56-2.65, 1 Li 2.59, 2 Au 2.63
10 Zn 0.2500 0.7500 0.5000  8 Zn 2.56-2.70
11 Zn 0.3505 0.8695 0.2199  1 Au 2.53, 4 Zn 2.65-2.70
12 Zn 0.6495 0.1305 0.7801  1 Au 2.53, 4 Zn 2.65-2.70
13 Zn 0.7500 0.2500 0.5000  8 Zn 2.56-2.70
14 Zn 0.7500 0.5017 0.7517  5 Zn 2.56-2.65, 1 Li 2.59, 2 Au 2.63
15 Zn 0.7500 0.9983 0.2483  5 Zn 2.56-2.65, 1 Li 2.59, 2 Au 2.63
16 Zn 0.8505 0.6305 0.4810  1 Au 2.53, 4 Zn 2.65-2.70
17 Au 0.1563 0.8543 0.0105  3 Zn 2.53-2.63, 3 Li 2.77-2.82
18 Au 0.3437 0.3543 0.6980  3 Zn 2.53-2.63, 3 Li 2.77-2.82
19 Au 0.6563 0.6457 0.3020  3 Zn 2.53-2.63, 3 Li 2.77-2.82
20 Au 0.8437 0.1457 0.9895  3 Zn 2.53-2.63, 3 Li 2.77-2.82

Output
Energy relative to the elements (eV/atom): -0.21
Volume (Å³ per cell): 347


4.
Below is a relaxed structure of TiPb, with properties calculated at the PBE level.

Cell lengths 6.7686, 6.7686, 6.7686 Å; angles 96.88, 96.88, 139.50 degrees
Closest atoms and distances in Å follow each position.
Fractional positions:
1 Ti 0.1744 0.1744 0.3487  6 Pb 2.93-2.97, 4 Ti 3.03-3.13
2 Ti 0.1744 0.8256 0.0000  6 Pb 2.93-2.97, 4 Ti 3.03-3.13
3 Ti 0.8256 0.1744 0.0000  6 Pb 2.93-2.97, 4 Ti 3.03-3.13
4 Ti 0.8256 0.8256 0.6513  6 Pb 2.93-2.97, 4 Ti 3.03-3.13
5 Pb 0.2346 0.5000 0.7346  6 Ti 2.93-2.97
6 Pb 0.5000 0.2346 0.7346  6 Ti 2.93-2.97
7 Pb 0.5000 0.7654 0.2654  6 Ti 2.93-2.97
8 Pb 0.7654 0.5000 0.2654  6 Ti 2.93-2.97

Output
Energy relative to the elements (eV/atom): 0.16
Volume (Å³ per cell): 189


5.
Below is a relaxed structure of SrNiPt2, with properties calculated at the PBE level.

Cell lengths 2.9288, 4.3191, 6.1460 Å; angles 90.00, 90.00, 90.00 degrees
Closest atoms and distances in Å follow each position.
Fractional positions:
1 Sr 0.0000 0.0000 0.0000  2 Sr 2.93, 6 Pt 3.05-3.13, 2 Ni 3.26
2 Ni 0.0000 0.5000 0.6036  6 Pt 2.58-2.63
3 Pt 0.5000 0.0000 0.5507  4 Ni 2.63, 4 Pt 2.81-2.93
4 Pt 0.5000 0.5000 0.2583  2 Ni 2.58, 2 Pt 2.81

Output
Energy relative to the elements (eV/atom): -0.11
Volume (Å³ per cell): 78


6.
Below is a relaxed structure of Pm3InGe2, with properties calculated at the PBE level.

Cell lengths 8.2556, 8.2556, 4.2807 Å; angles 90.00, 90.00, 147.86 degrees
Closest atoms and distances in Å follow each position.
Fractional positions:
1 Pm 0.0000 0.0000 0.0000  4 In 3.13, 4 Ge 3.29, 4 Pm 3.46
2 Pm 0.1717 0.8283 0.5000  4 Ge 3.15, 4 Pm 3.37-3.46
3 Pm 0.8283 0.1717 0.5000  4 Ge 3.15, 4 Pm 3.37-3.46
4 In 0.5000 0.5000 0.5000  4 Pm 3.13, 4 Ge 3.19
5 Ge 0.3508 0.6492 0.0000  6 Pm 3.15-3.29, 2 In 3.19
6 Ge 0.6492 0.3508 0.0000  6 Pm 3.15-3.29, 2 In 3.19

Output
Energy relative to the elements (eV/atom): -0.56
Volume (Å³ per cell): 155


7.
Below is a relaxed structure of Ti5ReSn, with properties calculated at the PBE level.

Cell lengths 4.4914, 4.4914, 6.5160 Å; angles 90.00, 90.00, 90.00 degrees
Closest atoms and distances in Å follow each position.
Fractional positions:
1 Ti 0.0000 0.0000 0.0000  8 Ti 2.71
2 Ti 0.0000 0.5000 0.2320  2 Re 2.71, 3 Ti 2.71-3.02, 2 Sn 2.84
3 Ti 0.0000 0.5000 0.7680  2 Re 2.71, 3 Ti 2.71-3.02, 2 Sn 2.84
4 Ti 0.5000 0.0000 0.2320  2 Re 2.71, 3 Ti 2.71-3.02, 2 Sn 2.84
5 Ti 0.5000 0.0000 0.7680  2 Re 2.71, 3 Ti 2.71-3.02, 2 Sn 2.84
6 Re 0.5000 0.5000 0.0000  8 Ti 2.71
7 Sn 0.0000 0.0000 0.5000  8 Ti 2.84

Output
Energy relative to the elements (eV/atom): -0.12
Volume (Å³ per cell): 131


8.
Below is a relaxed structure of Zr3Sn5S12, with properties calculated at the PBE level.

Cell lengths 13.5417, 13.5417, 13.5417 Å; angles 109.47, 109.47, 109.47 degrees
Closest atoms and distances in Å follow each position.
Fractional positions:
1 Zr 0.1250 0.2500 0.3750  8 S 2.83-2.84
2 Zr 0.1250 0.3750 0.7500  8 S 2.83-2.84
3 Zr 0.2500 0.3750 0.1250  8 S 2.83-2.84
4 Zr 0.2500 0.8750 0.6250  8 S 2.83-2.84
5 Zr 0.3750 0.1250 0.2500  8 S 2.83-2.84
6 Zr 0.3750 0.7500 0.1250  8 S 2.83-2.84
7 Zr 0.6250 0.2500 0.8750  8 S 2.83-2.84
8 Zr 0.6250 0.8750 0.7500  8 S 2.83-2.84
9 Zr 0.7500 0.1250 0.3750  8 S 2.83-2.84
10 Zr 0.7500 0.6250 0.8750  8 S 2.83-2.84
11 Zr 0.8750 0.6250 0.2500  8 S 2.83-2.84
12 Zr 0.8750 0.7500 0.6250  8 S 2.83-2.84
13 Sn 0.0000 0.0000 0.0000  6 S 2.70
14 Sn 0.0000 0.0000 0.5000  6 S 2.70
15 Sn 0.0000 0.5000 0.0000  6 S 2.70
16 Sn 0.0000 0.5000 0.5000  6 S 2.70
17 Sn 0.1250 0.7500 0.8750  4 S 2.55
18 Sn 0.1250 0.8750 0.2500  4 S 2.55
19 Sn 0.2500 0.1250 0.8750  4 S 2.55
20 Sn 0.2500 0.6250 0.3750  4 S 2.55
21 Sn 0.3750 0.2500 0.6250  4 S 2.55
22 Sn 0.3750 0.6250 0.7500  4 S 2.55
23 Sn 0.5000 0.0000 0.0000  6 S 2.70
24 Sn 0.5000 0.0000 0.5000  6 S 2.70
25 Sn 0.5000 0.5000 0.0000  6 S 2.70
26 Sn 0.5000 0.5000 0.5000  6 S 2.70
27 Sn 0.6250 0.3750 0.2500  4 S 2.55
28 Sn 0.6250 0.7500 0.3750  4 S 2.55
29 Sn 0.7500 0.3750 0.6250  4 S 2.55
30 Sn 0.7500 0.8750 0.1250  4 S 2.55
31 Sn 0.8750 0.1250 0.7500  4 S 2.55
32 Sn 0.8750 0.2500 0.1250  4 S 2.55
33 S 0.0597 0.2289 0.1438  2 Sn 2.55-2.70, 2 Zr 2.83-2.84
34 S 0.0597 0.3307 0.9159  2 Sn 2.55-2.70, 2 Zr 2.83-2.84
35 S 0.0841 0.6438 0.4148  2 Sn 2.55-2.70, 2 Zr 2.83-2.84
36 S 0.0841 0.9403 0.6693  2 Sn 2.55-2.70, 2 Zr 2.83-2.84
37 S 0.0852 0.7289 0.6693  2 Sn 2.55-2.70, 2 Zr 2.83-2.84
38 S 0.0852 0.8562 0.4159  2 Sn 2.55-2.70, 2 Zr 2.83-2.84
39 S 0.1438 0.0597 0.2289  2 Sn 2.55-2.70, 2 Zr 2.83-2.84
40 S 0.1438 0.5841 0.9148  2 Sn 2.55-2.70, 2 Zr 2.83-2.84
41 S 0.1693 0.2289 0.5852  2 Sn 2.55-2.70, 2 Zr 2.83-2.84
42 S 0.1693 0.4403 0.5841  2 Sn 2.55-2.70, 2 Zr 2.83-2.84
43 S 0.2289 0.1438 0.0597  2 Sn 2.55-2.70, 2 Zr 2.83-2.84
44 S 0.2289 0.5852 0.1693  2 Sn 2.55-2.70, 2 Zr 2.83-2.84
45 S 0.2711 0.3307 0.9148  2 Sn 2.55-2.70, 2 Zr 2.83-2.84
46 S 0.2711 0.4403 0.3562  2 Sn 2.55-2.70, 2 Zr 2.83-2.84
47 S 0.3307 0.9148 0.2711  2 Sn 2.55-2.70, 2 Zr 2.83-2.84
48 S 0.3307 0.9159 0.0597  2 Sn 2.55-2.70, 2 Zr 2.83-2.84
49 S 0.3562 0.2711 0.4403  2 Sn 2.55-2.70, 2 Zr 2.83-2.84
50 S 0.3562 0.5852 0.9159  2 Sn 2.55-2.70, 2 Zr 2.83-2.84
51 S 0.4148 0.0841 0.6438  2 Sn 2.55-2.70, 2 Zr 2.83-2.84
52 S 0.4148 0.8307 0.7711  2 Sn 2.55-2.70, 2 Zr 2.83-2.84
53 S 0.4159 0.0852 0.8562  2 Sn 2.55-2.70, 2 Zr 2.83-2.84
54 S 0.4159 0.8307 0.5597  2 Sn 2.55-2.70, 2 Zr 2.83-2.84
55 S 0.4403 0.3562 0.2711  2 Sn 2.55-2.70, 2 Zr 2.83-2.84
56 S 0.4403 0.5841 0.1693  2 Sn 2.55-2.70, 2 Zr 2.83-2.84
57 S 0.5597 0.4159 0.8307  2 Sn 2.55-2.70, 2 Zr 2.83-2.84
58 S 0.5597 0.6438 0.7289  2 Sn 2.55-2.70, 2 Zr 2.83-2.84
59 S 0.5841 0.1693 0.4403  2 Sn 2.55-2.70, 2 Zr 2.83-2.84
60 S 0.5841 0.9148 0.1438  2 Sn 2.55-2.70, 2 Zr 2.83-2.84
61 S 0.5852 0.1693 0.2289  2 Sn 2.55-2.70, 2 Zr 2.83-2.84
62 S 0.5852 0.9159 0.3562  2 Sn 2.55-2.70, 2 Zr 2.83-2.84
63 S 0.6438 0.4148 0.0841  2 Sn 2.55-2.70, 2 Zr 2.83-2.84
64 S 0.6438 0.7289 0.5597  2 Sn 2.55-2.70, 2 Zr 2.83-2.84
65 S 0.6693 0.0841 0.9403  2 Sn 2.55-2.70, 2 Zr 2.83-2.84
66 S 0.6693 0.0852 0.7289  2 Sn 2.55-2.70, 2 Zr 2.83-2.84
67 S 0.7289 0.5597 0.6438  2 Sn 2.55-2.70, 2 Zr 2.83-2.84
68 S 0.7289 0.6693 0.0852  2 Sn 2.55-2.70, 2 Zr 2.83-2.84
69 S 0.7711 0.4148 0.8307  2 Sn 2.55-2.70, 2 Zr 2.83-2.84
70 S 0.7711 0.8562 0.9403  2 Sn 2.55-2.70, 2 Zr 2.83-2.84
71 S 0.8307 0.5597 0.4159  2 Sn 2.55-2.70, 2 Zr 2.83-2.84
72 S 0.8307 0.7711 0.4148  2 Sn 2.55-2.70, 2 Zr 2.83-2.84
73 S 0.8562 0.4159 0.0852  2 Sn 2.55-2.70, 2 Zr 2.83-2.84
74 S 0.8562 0.9403 0.7711  2 Sn 2.55-2.70, 2 Zr 2.83-2.84
75 S 0.9148 0.1438 0.5841  2 Sn 2.55-2.70, 2 Zr 2.83-2.84
76 S 0.9148 0.2711 0.3307  2 Sn 2.55-2.70, 2 Zr 2.83-2.84
77 S 0.9159 0.0597 0.3307  2 Sn 2.55-2.70, 2 Zr 2.83-2.84
78 S 0.9159 0.3562 0.5852  2 Sn 2.55-2.70, 2 Zr 2.83-2.84
79 S 0.9403 0.6693 0.0841  2 Sn 2.55-2.70, 2 Zr 2.83-2.84
80 S 0.9403 0.7711 0.8562  2 Sn 2.55-2.70, 2 Zr 2.83-2.84

Output
E (eV per cell): -427.00
Volume (Å³ per cell): 1912


9.
Below is a relaxed structure of NdSm2Tm, with properties calculated at the PBE level.

Cell lengths 11.8938, 11.8938, 11.8938 Å; angles 17.51, 17.51, 17.51 degrees
Closest atoms and distances in Å follow each position.
Fractional positions:
1 Nd 0.0000 0.0000 0.0000  6 Nd 3.62, 6 Sm 3.65
2 Sm 0.2480 0.2480 0.2480  3 Tm 3.54, 6 Sm 3.62, 3 Nd 3.65
3 Sm 0.4186 0.4186 0.4186  3 Tm 3.54, 6 Sm 3.62, 3 Nd 3.65
4 Tm 0.8333 0.8333 0.8333  6 Sm 3.54, 6 Tm 3.62

Output
Energy relative to the elements (eV/atom): 0.02
Volume (Å³ per cell): 133


10.
Below is a relaxed structure of SrPRu2, with properties calculated at the PBE level.

Cell lengths 3.0201, 3.0201, 7.4872 Å; angles 90.00, 90.00, 90.00 degrees
Closest atoms and distances in Å follow each position.
Fractional positions:
1 Sr 0.0000 0.0000 0.0000  4 Sr 3.02, 8 Ru 3.23
2 P 0.0000 0.0000 0.5000  8 Ru 2.51
3 Ru 0.5000 0.5000 0.3235  4 P 2.51, 1 Ru 2.64
4 Ru 0.5000 0.5000 0.6765  4 P 2.51, 1 Ru 2.64

Output
Energy relative to the elements (eV/atom): 0.13
Volume (Å³ per cell): 68